[1]
Compound: La4Ag2Au5
Source: Alexandria via LeMat-Bulk
Functional: PBE
Structure: relaxed

a b c (Å): 7.987 3.946 9.036
angles (deg): 90.00 92.49 90.00
Space group P2/m (No. 10)
Asymmetric unit:
La1 0.222 0.000 0.362 x2
La2 0.268 0.000 0.870 x2
Ag1 0.427 0.500 0.628 x2
Au1 0.000 0.500 0.000 x1
Au2 0.082 0.500 0.644 x2
Au3 0.372 0.500 0.118 x2

Summary:
- Final energy: -0.163 hartree per atom
- Calculated density: 10.3 Mg/m³
- Magnetic moment: 0.0 μB per formula unit

[2]
Compound: Rb3AcNd2Se6
Source: Alexandria via LeMat-Bulk
Functional: PBE
Structure: relaxed

a b c (Å): 7.719 13.370 8.440
angles (deg): 90.00 107.76 90.00
Space group C2/m (No. 12)
Asymmetric unit:
Rb1 0.000 0.000 0.000 x2
Rb2 0.000 0.334 0.000 x4
Ac1 0.000 0.500 0.500 x2
Nd1 0.000 0.167 0.500 x4
Se1 0.223 0.000 0.703 x4
Se2 0.240 0.328 0.703 x8

Summary:
- Formation energy (no corrections): -1.755 eV per atom
- Final energy: -0.179 hartree per atom
- Calculated density: 5.0 Mg/m³
- Magnetic moment: 0.0 μB per formula unit

[3]
Compound: YAg
Source: Alexandria via LeMat-Bulk
Functional: PBE
Structure: relaxed

a b c (Å): 3.4986 3.4986 29.0791
angles (deg): 90.00 90.00 120.00
Space group R-3m (No. 166, hexagonal axes)
Asymmetric unit:
Y1 0.0000 0.0000 0.1164 x6
Ag1 0.0000 0.0000 0.3689 x6

Summary:
- Final energy: -0.171 hartree per atom
- Calculated density: 6.4 Mg/m³
- Magnetic moment: 0.1 μB per formula unit

[4]
Compound: PrOsO5
Source: Alexandria via LeMat-Bulk
Functional: PBE
Structure: relaxed

a b c (Å): 9.288 6.634 7.659
angles (deg): 90.00 114.18 90.00
Space group C2/c (No. 15)
Asymmetric unit:
Pr1 0.000 0.048 0.250 x4
Os1 0.000 0.500 0.000 x4
O1 0.000 0.422 0.250 x4
O2 0.012 0.213 0.967 x8
O3 0.212 0.484 0.608 x8

Summary:
- Formation energy (no corrections): -1.802 eV per atom
- Final energy: -0.280 hartree per atom
- Calculated density: 6.3 Mg/m³
- Magnetic moment: 1.0 μB per formula unit